## A
Compound: Sm6DyAl
Source: Alexandria
Functional: PBE
Structure: relaxed

Lattice parameters (Å, degrees): 6.6473 11.4980 6.4950 90.00 90.06 90.00
With the nearest neighbours (Å) after each atom.
Positions (direct):
Sm 0.0763 0.0000 0.2588  1 Al 3.22, 1 Dy 3.28, 6 Sm 3.29-3.51
Sm 0.2134 0.2880 0.2588  1 Al 3.23, 1 Dy 3.28, 6 Sm 3.29-3.51
Sm 0.2134 0.7120 0.2588  1 Al 3.23, 1 Dy 3.28, 6 Sm 3.29-3.51
Sm 0.2866 0.2120 0.7412  1 Al 3.23, 1 Dy 3.28, 6 Sm 3.29-3.51
Sm 0.2866 0.7880 0.7412  1 Al 3.23, 1 Dy 3.28, 6 Sm 3.29-3.51
Sm 0.4237 0.5000 0.7412  1 Al 3.22, 1 Dy 3.28, 6 Sm 3.29-3.51
Sm 0.5763 0.5000 0.2588  1 Al 3.22, 1 Dy 3.28, 6 Sm 3.29-3.51
Sm 0.7134 0.2120 0.2588  1 Al 3.23, 1 Dy 3.28, 6 Sm 3.29-3.51
Sm 0.7134 0.7880 0.2588  1 Al 3.23, 1 Dy 3.28, 6 Sm 3.29-3.51
Sm 0.7866 0.2880 0.7412  1 Al 3.23, 1 Dy 3.28, 6 Sm 3.29-3.51
Sm 0.7866 0.7120 0.7412  1 Al 3.23, 1 Dy 3.28, 6 Sm 3.29-3.51
Sm 0.9237 0.0000 0.7412  1 Al 3.22, 1 Dy 3.28, 6 Sm 3.29-3.51
Dy 0.0000 0.5000 0.0000  2 Al 3.25, 6 Sm 3.28
Dy 0.5000 0.0000 0.0000  2 Al 3.25, 6 Sm 3.28
Al 0.0000 0.5000 0.5000  6 Sm 3.22-3.23, 2 Dy 3.25
Al 0.5000 0.0000 0.5000  6 Sm 3.22-3.23, 2 Dy 3.25

Output
Its space-group type is C2/m (12).

## B
Compound: Sm6DyAl
Source: Alexandria
Functional: PBE
Structure: relaxed

Lattice parameters (Å, degrees): 4.9306 4.9306 10.1297 90.00 90.00 90.00
With the nearest neighbours (Å) after each atom.
Positions (direct):
Sm 0.0000 0.0000 0.0000  8 Sm 3.45, 4 Al 3.49
Sm 0.0000 0.0000 0.5000  4 Dy 3.49, 8 Sm 3.62
Sm 0.0000 0.5000 0.2384  2 Al 3.45, 8 Sm 3.45-3.62, 2 Dy 3.62
Sm 0.0000 0.5000 0.7616  2 Al 3.45, 8 Sm 3.45-3.62, 2 Dy 3.62
Sm 0.5000 0.0000 0.2384  2 Al 3.45, 8 Sm 3.45-3.62, 2 Dy 3.62
Sm 0.5000 0.0000 0.7616  2 Al 3.45, 8 Sm 3.45-3.62, 2 Dy 3.62
Dy 0.5000 0.5000 0.5000  12 Sm 3.49-3.62
Al 0.5000 0.5000 0.0000  12 Sm 3.45-3.49

Output
Its space-group type is P4/mmm (123).

Which one is most stable, and which one is least stable? B is the most stable of them, while A is the least stable.

## A
Compound: Sm2Dy8Al
Source: Alexandria
Functional: PBE
Structure: relaxed

Lattice parameters (Å, degrees): 9.9894 9.9894 6.4587 93.78 93.78 31.82
With the nearest neighbours (Å) after each atom.
Positions (direct):
Sm 0.2419 0.2419 0.3331  8 Dy 3.42-3.65, 2 Sm 3.49
Sm 0.7581 0.7581 0.6669  8 Dy 3.42-3.65, 2 Sm 3.49
Dy 0.0419 0.0419 0.2537  2 Al 3.26, 3 Dy 3.55-3.59
Dy 0.1537 0.1537 0.8141  6 Dy 3.35-3.68, 4 Sm 3.56-3.65
Dy 0.3431 0.3431 0.8779  1 Al 3.06, 2 Dy 3.38, 2 Sm 3.42
Dy 0.4226 0.4226 0.3961  1 Al 3.05, 3 Dy 3.18-3.35
Dy 0.5774 0.5774 0.6039  1 Al 3.05, 3 Dy 3.18-3.35
Dy 0.6569 0.6569 0.1221  1 Al 3.06, 2 Dy 3.38, 2 Sm 3.42
Dy 0.8463 0.8463 0.1859  6 Dy 3.35-3.68, 4 Sm 3.56-3.65
Dy 0.9581 0.9581 0.7463  2 Al 3.26, 3 Dy 3.55-3.59
Al 0.5000 0.5000 0.0000  8 Dy 3.05-3.26

Output
Its space-group type is C2/m (12).

## B
Compound: Sm2Dy8Al
Source: Alexandria
Functional: PBE
Structure: relaxed

Lattice parameters (Å, degrees): 9.7383 9.7383 7.4710 112.49 112.49 32.27
With the nearest neighbours (Å) after each atom.
Positions (direct):
Sm 0.1930 0.1930 0.1927  10 Dy 3.39-3.75
Sm 0.8070 0.8070 0.8073  10 Dy 3.39-3.75
Dy 0.0002 0.0002 0.2550  2 Al 3.27, 6 Dy 3.54-3.60
Dy 0.9998 0.9998 0.7450  2 Al 3.27, 6 Dy 3.54-3.60
Dy 0.1809 0.1809 0.6812  8 Dy 3.44-3.65, 4 Sm 3.47-3.75
Dy 0.3672 0.3672 0.1035  1 Al 3.01
Dy 0.3667 0.3667 0.6294  1 Al 3.01
Dy 0.6333 0.6333 0.3706  1 Al 3.01
Dy 0.6328 0.6328 0.8965  1 Al 3.01
Dy 0.8191 0.8191 0.3188  8 Dy 3.44-3.65, 4 Sm 3.47-3.75
Al 0.5000 0.5000 0.5000  8 Dy 3.01-3.27

Output
Its space-group type is C2/m (12).

Which one is most stable, and which one is least stable? A is the most stable of them, while B is the least stable.

## A
Compound: Sm3DyAl2
Source: Alexandria
Functional: PBE
Structure: relaxed

Lattice parameters (Å, degrees): 5.1784 9.6567 6.6374 90.00 90.00 90.00
With the nearest neighbours (Å) after each atom.
Positions (direct):
Sm 0.0000 0.0417 0.0000  3 Al 3.19-3.23, 5 Sm 3.42-3.56
Sm 0.0000 0.3284 0.3362  5 Al 3.08-3.43, 2 Dy 3.44
Sm 0.0000 0.6716 0.8362  5 Al 3.08-3.43, 2 Dy 3.44
Sm 0.0000 0.9583 0.5000  3 Al 3.19-3.23, 5 Sm 3.42-3.56
Sm 0.5000 0.1772 0.7154  5 Al 3.16-3.44, 2 Sm 3.46, 1 Dy 3.50
Sm 0.5000 0.8228 0.2154  5 Al 3.16-3.44, 2 Sm 3.46, 1 Dy 3.50
Dy 0.5000 0.4564 0.0506  3 Al 3.17-3.20, 2 Dy 3.42, 3 Sm 3.44-3.50
Dy 0.5000 0.5436 0.5506  3 Al 3.17-3.20, 2 Dy 3.42, 3 Sm 3.44-3.50
Al 0.0000 0.3525 0.8207  6 Sm 3.08-3.43, 2 Dy 3.17
Al 0.0000 0.6475 0.3207  6 Sm 3.08-3.43, 2 Dy 3.17
Al 0.5000 0.1495 0.2326  7 Sm 3.16-3.44, 1 Dy 3.20
Al 0.5000 0.8505 0.7326  7 Sm 3.16-3.44, 1 Dy 3.20

Output
Its space-group type is Pmc2_1 (26).

## B
Compound: Sm3DyAl2
Source: Alexandria
Functional: PBE
Structure: relaxed

Lattice parameters (Å, degrees): 4.9020 15.0892 4.4294 90.00 90.00 90.00
With the nearest neighbours (Å) after each atom.
Positions (direct):
Sm 0.0000 0.0000 0.0000  4 Al 3.22, 4 Dy 3.30, 4 Sm 3.61
Sm 0.0000 0.3246 0.0000  6 Al 3.32-3.38, 4 Sm 3.33-3.61, 2 Dy 3.45
Sm 0.0000 0.6754 0.0000  6 Al 3.32-3.38, 4 Sm 3.33-3.61, 2 Dy 3.45
Sm 0.5000 0.1754 0.0000  6 Al 3.32-3.38, 4 Sm 3.33-3.61, 2 Dy 3.45
Sm 0.5000 0.5000 0.0000  4 Al 3.22, 4 Dy 3.30, 4 Sm 3.61
Sm 0.5000 0.8246 0.0000  6 Al 3.32-3.38, 4 Sm 3.33-3.61, 2 Dy 3.45
Dy 0.0000 0.5000 0.5000  8 Sm 3.30-3.45, 4 Al 3.39
Dy 0.5000 0.0000 0.5000  8 Sm 3.30-3.45, 4 Al 3.39
Al 0.0000 0.1553 0.5000  8 Sm 3.22-3.38, 2 Dy 3.39
Al 0.0000 0.8447 0.5000  8 Sm 3.22-3.38, 2 Dy 3.39
Al 0.5000 0.3447 0.5000  8 Sm 3.22-3.38, 2 Dy 3.39
Al 0.5000 0.6553 0.5000  8 Sm 3.22-3.38, 2 Dy 3.39

Output
Its space-group type is Cmmm (65).

Which one is most stable, and which one is least stable? A is the most stable of them, while B is the least stable.

## A
Compound: SmDy3Al8
Source: Alexandria
Functional: PBE
Structure: relaxed

Lattice parameters (Å, degrees): 5.5697 5.5697 9.1569 90.00 90.00 120.00
With the nearest neighbours (Å) after each atom.
Positions (direct):
Sm 0.0000 0.0000 0.0000  12 Al 3.25-3.32, 4 Dy 3.33-3.45
Dy 0.0000 0.0000 0.3641  12 Al 3.24-3.29, 1 Sm 3.33, 3 Dy 3.45
Dy 0.6667 0.3333 0.4992  12 Al 3.24-3.28, 4 Dy 3.33-3.45
Dy 0.6667 0.3333 0.8633  12 Al 3.25-3.33, 1 Dy 3.33, 3 Sm 3.45
Al 0.1622 0.3243 0.6806  6 Al 2.71-2.86
Al 0.1622 0.8378 0.6806  6 Al 2.71-2.86
Al 0.3333 0.6667 0.4329  6 Al 2.81-2.82
Al 0.3333 0.6667 0.9312  6 Al 2.83-2.84
Al 0.5045 0.0091 0.1838  6 Al 2.71-2.86
Al 0.5045 0.4955 0.1838  6 Al 2.71-2.86
Al 0.6757 0.8378 0.6806  6 Al 2.71-2.86
Al 0.9909 0.4955 0.1838  6 Al 2.71-2.86

Output
Its space-group type is P3m1 (156).

## B
Compound: SmDy3Al8
Source: Alexandria
Functional: PBE
Structure: relaxed

Lattice parameters (Å, degrees): 9.6944 9.6944 9.6944 33.41 33.41 33.41
With the nearest neighbours (Å) after each atom.
Positions (direct):
Sm 0.0000 0.0000 0.0000  12 Al 3.27-3.29, 4 Dy 3.42-3.43
Dy 0.1249 0.1249 0.1249  12 Al 3.26-3.27, 3 Dy 3.42, 1 Sm 3.43
Dy 0.5003 0.5003 0.5003  12 Al 3.26-3.27, 4 Dy 3.41-3.42
Dy 0.6246 0.6246 0.6246  12 Al 3.27-3.30, 1 Dy 3.41, 3 Sm 3.42
Al 0.0622 0.0622 0.5615  6 Al 2.78-2.80
Al 0.0622 0.5615 0.0622  6 Al 2.78-2.80
Al 0.0633 0.5629 0.5629  6 Al 2.78-2.81
Al 0.3123 0.3123 0.3123  6 Al 2.80-2.81
Al 0.5615 0.0622 0.0622  6 Al 2.78-2.80
Al 0.5629 0.0633 0.5629  6 Al 2.78-2.81
Al 0.5629 0.5629 0.0633  6 Al 2.78-2.81
Al 0.8126 0.8126 0.8126  6 Al 2.78-2.79

Output
Its space-group type is R3m (160).

Which one is most stable, and which one is least stable? B is the most stable of them, while A is the least stable.

## A
Compound: Sm3Dy2Al3
Source: Alexandria
Functional: PBE
Structure: relaxed

Lattice parameters (Å, degrees): 3.7179 5.2474 21.8601 90.00 90.00 90.00
With the nearest neighbours (Å) after each atom.
Positions (direct):
Sm 0.0000 0.0000 0.0000  8 Al 3.19-3.22
Sm 0.0000 0.5000 0.1199  6 Al 3.21-3.22, 2 Dy 3.56
Sm 0.0000 0.5000 0.8801  6 Al 3.21-3.22, 2 Dy 3.56
Sm 0.5000 0.0000 0.3801  6 Al 3.21-3.22, 2 Dy 3.56
Sm 0.5000 0.0000 0.6199  6 Al 3.21-3.22, 2 Dy 3.56
Sm 0.5000 0.5000 0.5000  8 Al 3.19-3.22
Dy 0.0000 0.0000 0.2302  2 Al 3.07, 4 Dy 3.33
Dy 0.0000 0.0000 0.7698  2 Al 3.07, 4 Dy 3.33
Dy 0.5000 0.5000 0.2698  2 Al 3.07, 4 Dy 3.33
Dy 0.5000 0.5000 0.7302  2 Al 3.07, 4 Dy 3.33
Al 0.0000 0.0000 0.5000  8 Sm 3.21-3.22
Al 0.0000 0.5000 0.3817  2 Dy 3.07, 6 Sm 3.19-3.22
Al 0.0000 0.5000 0.6183  2 Dy 3.07, 6 Sm 3.19-3.22
Al 0.5000 0.0000 0.1183  2 Dy 3.07, 6 Sm 3.19-3.22
Al 0.5000 0.0000 0.8817  2 Dy 3.07, 6 Sm 3.19-3.22
Al 0.5000 0.5000 0.0000  8 Sm 3.21-3.22

Output
Its space-group type is Immm (71).

## B
Compound: Sm3Dy2Al3
Source: Alexandria
Functional: PBE
Structure: relaxed

Lattice parameters (Å, degrees): 8.5392 8.5392 3.3187 90.00 90.00 120.00
With the nearest neighbours (Å) after each atom.
Positions (direct):
Sm 0.0000 0.7564 0.0000  2 Dy 3.30, 4 Sm 3.32-3.60, 6 Al 3.32-3.58
Sm 0.2436 0.2436 0.0000  2 Dy 3.30, 4 Sm 3.32-3.60, 6 Al 3.32-3.58
Sm 0.7564 0.0000 0.0000  2 Dy 3.30, 4 Sm 3.32-3.60, 6 Al 3.32-3.58
Dy 0.3333 0.6667 0.0000  6 Al 3.13, 3 Sm 3.30, 2 Dy 3.32
Dy 0.6667 0.3333 0.0000  6 Al 3.13, 3 Sm 3.30, 2 Dy 3.32
Al 0.0000 0.3849 0.5000  4 Dy 3.13, 2 Al 3.32, 4 Sm 3.32
Al 0.3849 0.0000 0.5000  4 Dy 3.13, 2 Al 3.32, 4 Sm 3.32
Al 0.6151 0.6151 0.5000  4 Dy 3.13, 2 Al 3.32, 4 Sm 3.32

Output
Its space-group type is P-62m (189).

Which one is most stable, and which one is least stable? A is the most stable of them, while B is the least stable.

## A
Compound: SmDy6Al2
Source: Alexandria
Functional: PBE
Structure: relaxed

Lattice parameters (Å, degrees): 14.2482 14.2482 14.2482 160.73 160.73 27.38
With the nearest neighbours (Å) after each atom.
Positions (direct):
Sm 0.0000 0.0000 0.0000  4 Dy 3.31
Dy 0.1449 0.6485 0.0000  1 Al 2.84
Dy 0.2500 0.7500 0.5000  4 Al 2.98
Dy 0.3515 0.3515 0.4964  1 Al 2.84
Dy 0.6485 0.1449 0.0000  1 Al 2.84
Dy 0.7500 0.2500 0.5000  4 Al 2.98
Dy 0.8551 0.8551 0.5036  1 Al 2.84
Al 0.3145 0.3145 0.0000  6 Dy 2.84-2.98
Al 0.6855 0.6855 0.0000  6 Dy 2.84-2.98

Output
Its space-group type is I-42m (121).

## B
Compound: SmDy6Al2
Source: Alexandria
Functional: PBE
Structure: relaxed

Lattice parameters (Å, degrees): 6.5367 6.5367 11.7590 107.89 107.89 32.77
With the nearest neighbours (Å) after each atom.
Positions (direct):
Sm 0.0000 0.0000 0.0000  4 Al 3.17
Dy 0.0200 0.0200 0.3315  2 Al 3.09, 1 Dy 3.46
Dy 0.3107 0.3107 0.1254  2 Al 3.13, 5 Dy 3.39-3.48
Dy 0.3107 0.3107 0.4138  2 Al 3.18, 4 Dy 3.39-3.46
Dy 0.6893 0.6893 0.5862  2 Al 3.18, 4 Dy 3.39-3.46
Dy 0.6893 0.6893 0.8746  2 Al 3.13, 5 Dy 3.39-3.48
Dy 0.9800 0.9800 0.6685  2 Al 3.09, 1 Dy 3.46
Al 0.3507 0.3507 0.7897  6 Dy 3.09-3.18, 2 Sm 3.17
Al 0.6493 0.6493 0.2103  6 Dy 3.09-3.18, 2 Sm 3.17

Output
Its space-group type is C2/m (12).

Which one is most stable, and which one is least stable? B is the most stable of them, while A is the least stable.